[1]
VASP calculation (GGA-PBE) on a geometry-optimized NaSeBr2F structure.

Output
SG: P4/mmm
Total energy (eV for the cell shown): -12.39
Excess energy over the best structure of this formula in the dataset (kcal/mol of atoms): 0.00
ΔE_f (raw) (eV per atom): -0.474

abc: 5.849 5.849 3.921
angles: 90.00 90.00 90.00
Last column: magnetic moment on the atom in μB.
Positions (direct):
Na 0.500 0.500 0.500  0.00
Se 0.000 0.000 0.500  0.53
Br 0.000 0.500 0.000  0.12
Br 0.500 0.000 0.000  0.12
F 0.000 0.000 0.000  0.05

[2]
VASP calculation (GGA-PBE) on a geometry-optimized Ga2W4Se structure.

Output
SG: I4/mmm
Total energy (eV for the cell shown): -50.65
ΔE_f (raw) (eV per atom): 1.529

abc: 4.511 4.511 7.393
angles: 72.24 72.24 90.00
Positions (direct):
Ga 0.633 0.633 0.734
Ga 0.367 0.367 0.266
Se 0.000 0.000 0.000
W 0.823 0.823 0.353
W 0.177 0.177 0.647
W 0.000 0.500 0.000
W 0.500 0.000 0.000

Q: The highest ΔE_f (raw) belongs to which entry?
A: Ga2W4Se

Repeat the first record exactly.
VASP calculation (GGA-PBE) on a geometry-optimized NaSeBr2F structure.

Output
SG: P4/mmm
Total energy (eV for the cell shown): -12.39
Excess energy over the best structure of this formula in the dataset (kcal/mol of atoms): 0.00
ΔE_f (raw) (eV per atom): -0.474

abc: 5.849 5.849 3.921
angles: 90.00 90.00 90.00
Last column: magnetic moment on the atom in μB.
Positions (direct):
Na 0.500 0.500 0.500  0.00
Se 0.000 0.000 0.500  0.53
Br 0.000 0.500 0.000  0.12
Br 0.500 0.000 0.000  0.12
F 0.000 0.000 0.000  0.05

Q: Which formula does entry 1 have?
A: NaSeBr2F